a:
Below is crystalline Ge3AsAu at its relaxed geometry, with properties calculated at the PBE level.

```
Ge3AsAu
1.0
4.9882 0.0000 0.0000
0.0000 4.9882 0.0000
0.0000 0.0000 4.9882
Ge As Au
3 1 1
direct
0.0000 0.0000 0.5000 Ge
0.0000 0.5000 0.0000 Ge
0.5000 0.0000 0.0000 Ge
0.0000 0.0000 0.0000 As
0.5000 0.5000 0.5000 Au
```

Properties
* total magnetic moment: 0.0 μB per formula unit

b:
Below is crystalline Ge3AsAu at its relaxed geometry, with properties calculated at the PBE level.

```
Ge3AsAu
1.0
5.0054 0.0000 0.0000
0.0000 5.0054 0.0000
0.0000 0.0000 5.0054
Ge As Au
3 1 1
direct
0.0000 0.0000 0.5000 Ge
0.0000 0.5000 0.0000 Ge
0.5000 0.0000 0.0000 Ge
0.5000 0.5000 0.5000 As
0.0000 0.0000 0.0000 Au
```

Properties
* total magnetic moment: 0.0 μB per formula unit

Stability summary: most stable b, least stable a.